No. 1
# Al2PbW PBE-GGA relaxed
# Density of states at the Fermi level = 6.23 states/eV per cell
# Calculated total energy = -5.704 eV/atom
# Formation energy = 0.3331 eV per atom
data_Al2PbW
_symmetry_space_group_name_H-M 'R -3 m'
_symmetry_Int_Tables_number 166
_symmetry_space_group_name_Hall '-R 3 2"'
_cell_length_a 3.0041
_cell_length_b 3.0041
_cell_length_c 30.3358
_cell_angle_alpha 90.00
_cell_angle_beta 90.00
_cell_angle_gamma 120.00
loop_
_atom_site_label
_atom_site_fract_x
_atom_site_fract_y
_atom_site_fract_z
Al1 0.0000 0.0000 0.2374
Pb1 0.0000 0.0000 0.0000
W1 0.0000 0.0000 0.5000

---

No. 2
# AlPbW4 PBE-GGA relaxed
# Density of states at the Fermi level = 10.93 states/eV per cell
# Calculated total energy = -9.187 eV/atom
# Formation energy = 0.6901 eV per atom
data_AlPbW4
_symmetry_space_group_name_H-M 'F -4 3 m'
_symmetry_Int_Tables_number 216
_symmetry_space_group_name_Hall 'F -4 2 3'
_cell_length_a 7.613
_cell_length_b 7.613
_cell_length_c 7.613
_cell_angle_alpha 90.00
_cell_angle_beta 90.00
_cell_angle_gamma 90.00
loop_
_atom_site_label
_atom_site_fract_x
_atom_site_fract_y
_atom_site_fract_z
Al1 0.000 0.000 0.000
Pb1 0.250 0.250 0.750
W1 0.125 0.125 0.375

---

No. 3
# AlPb2W PBE-GGA relaxed
# Density of states at the Fermi level = 4.70 states/eV per cell
# Calculated total energy = -5.152 eV/atom
# Formation energy = 0.8763 eV per atom
data_AlPb2W
_symmetry_space_group_name_H-M 'I m m m'
_symmetry_Int_Tables_number 71
_symmetry_space_group_name_Hall '-I 2 2'
_cell_length_a 3.785
_cell_length_b 5.056
_cell_length_c 8.967
_cell_angle_alpha 90.00
_cell_angle_beta 90.00
_cell_angle_gamma 90.00
loop_
_atom_site_label
_atom_site_fract_x
_atom_site_fract_y
_atom_site_fract_z
Al1 0.000 0.000 0.000
Pb1 0.000 0.500 0.255
W1 0.000 0.000 0.500

---

No. 4
# Al2PbW PBE-GGA relaxed
# Density of states at the Fermi level = 4.60 states/eV per cell
# Calculated total energy = -5.701 eV/atom
# Formation energy = 0.3358 eV per atom
data_Al2PbW
_symmetry_space_group_name_H-M 'C m m m'
_symmetry_Int_Tables_number 65
_symmetry_space_group_name_Hall '-C 2 2'
_cell_length_a 3.890
_cell_length_b 4.541
_cell_length_c 8.897
_cell_angle_alpha 90.00
_cell_angle_beta 90.00
_cell_angle_gamma 90.00
loop_
_atom_site_label
_atom_site_fract_x
_atom_site_fract_y
_atom_site_fract_z
Al1 0.000 0.000 0.205
Pb1 0.000 0.500 0.500
W1 0.000 0.500 0.000